{"formula": "YZr2P", "functional": "PBE-GGA", "state": "optimized geometry", "formation_enthalpy_0k_kj_per_mol_fu": -220, "volume_a3_per_atom": 23.760, "energy_ev_per_atom": -7.814, "cell": [[8.685, -1.784, -0.001], [8.685, 1.784, -0.001], [8.319, 0.000, 3.067]], "species": ["Zr", "Zr", "P", "Y"], "frac_coords": [[0.006, 0.006, 0.006], [0.768, 0.768, 0.768], [0.495, 0.495, 0.495], [0.231, 0.231, 0.231]]}

***

{"formula": "Ga3GeBr", "functional": "PBE-GGA", "state": "optimized geometry", "raw_formation_energy_ev_per_atom": 0.14, "volume_a3_per_atom": 28.091, "energy_ev_per_atom": -2.933, "cell": [[-1.801, -0.715, 4.824], [-0.678, -5.055, -1.003], [4.829, -0.977, 1.658]], "species": ["Br", "Ga", "Ga", "Ga", "Ge"], "frac_coords": [[0.500, 0.500, 0.500], [0.000, 0.500, 0.000], [0.500, 0.000, 0.000], [0.000, 0.000, 0.500], [0.000, 0.000, 0.000]]}